Record 1
Here is a geometry-optimized MnBe5Rh6 structure from Alexandria via LeMat-Bulk. Energies are from GGA-PBE.

The value obtained for the total energy is -6.5416 eV/atom. The value obtained for the total magnetization is 0.208 μB per atom.

The space group is Immm (No. 71) and the conventional cell measures 3.995, 5.676 and 11.928 Å, with angles of 90.00, 90.00 and 90.00 degrees. Symmetry generates all atoms from Mn at (0.000, 0.000, 0.000), Be at (0.000, 0.000, 0.330), Be at (0.000, 0.500, 0.000), Be at (0.000, 0.500, 0.341), Rh at (0.000, 0.238, 0.500) and Rh at (0.000, 0.256, 0.169).

---

Record 2
Here is a geometry-optimized MnBe4Rh5 structure from Alexandria via LeMat-Bulk. Energies are from GGA-PBE.

The value obtained for the total energy is -6.6005 eV/atom. The value obtained for the total magnetization is 0.311 μB per atom.

The space group is P4/mmm (No. 123) and the conventional cell measures 2.819, 2.819 and 14.327 Å, with angles of 90.00, 90.00 and 90.00 degrees. Symmetry generates all atoms from Mn at (0.000, 0.000, 0.000), Be at (0.000, 0.000, 0.215), Be at (0.000, 0.000, 0.404), Rh at (0.500, 0.500, 0.114), Rh at (0.500, 0.500, 0.307) and Rh at (0.500, 0.500, 0.500).

---

Record 3
Here is a geometry-optimized MnBeSiRh structure from Alexandria via LeMat-Bulk. Energies are from GGA-PBE.

The value obtained for the total energy is -6.8968 eV/atom. The value obtained for the total magnetization is 0.393 μB per atom. Its formation energy without anion corrections is -0.479 eV/atom.

The space group is F-43m (No. 216) and the conventional cell measures 5.636, 5.636 and 5.636 Å, with angles of 90.00, 90.00 and 90.00 degrees. Symmetry generates all atoms from Mn at (0.000, 0.000, 0.000), Be at (0.250, 0.250, 0.750), Si at (0.250, 0.250, 0.250) and Rh at (0.000, 0.000, 0.500).

---

Record 4
Here is a geometry-optimized TaMnBeRh structure from Alexandria via LeMat-Bulk. Energies are from GGA-PBE.

The value obtained for the total energy is -8.2686 eV/atom. The value obtained for the total magnetization is 0.226 μB per atom.

The space group is F-43m (No. 216) and the conventional cell measures 5.948, 5.948 and 5.948 Å, with angles of 90.00, 90.00 and 90.00 degrees. Symmetry generates all atoms from Ta at (0.000, 0.000, 0.000), Mn at (0.250, 0.250, 0.250), Be at (0.000, 0.000, 0.500) and Rh at (0.250, 0.250, 0.750).